YCoTc2: relaxed, GGA-PBE.

```
YCoTc2
1.0
3.128 0.000 0.000
0.000 3.129 0.000
0.000 0.000 6.854
Co Y Tc
1 1 2
Direct
0.500 0.500 0.794
0.000 0.000 0.509
0.000 0.000 0.998
0.500 0.500 0.200
```

Energy above the lowest structure with this stoichiometry: 0 meV per atom
SG: P4mm (99)
DOS at the Fermi energy: 0.847 states/eV/atom
Formation energy from the elements: 0.4 eV per formula unit
E: -8.47 eV/atom
Size of the total moment: 1.8 Bohr magnetons per cell